Entry 1:
Here is a relaxed structure of MgRe2P from Alexandria via LeMat-Bulk. Energies are from PBE.

abc: 3.166 4.286 4.429
angles: 90.00 90.00 90.00
Space group Pmmm (No. 47)
Unique sites:
Mg: 0.000 0.000 0.000 [1 per cell]
Re: 0.000 0.500 0.500 [1 per cell]
Re: 0.500 0.000 0.500 [1 per cell]
P: 0.500 0.500 0.000 [1 per cell]

Properties
Formation energy: 41 kJ/mol of atoms
Volume: 60 Å³ per cell
Energy above the most stable polymorph in this dataset: 434.3 meV/atom
E: -7.555 eV per atom
Size of the total moment: 0.000 μB per formula unit
Crystal system: orthorhombic


Entry 2:
Here is a relaxed structure of LiNd2Al from Alexandria via LeMat-Bulk. Energies are from PBE.

abc: 5.271 5.271 3.828
angles: 90.00 90.00 90.00
Space group P4/mmm (No. 123)
Unique sites:
Li: 0.000 0.000 0.000 [1 per cell]
Nd: 0.000 0.500 0.500 [2 per cell]
Al: 0.500 0.500 0.000 [1 per cell]

Properties
Formation energy: -16 kJ/mol of atoms
Volume: 106 Å³ per cell
Energy above the most stable polymorph in this dataset: 24.2 meV/atom
E: -3.964 eV per atom
Size of the total moment: 0.000 μB per formula unit
Crystal system: tetragonal


Entry 3:
Here is a relaxed structure of Pa5Ga4 from Alexandria via LeMat-Bulk. Energies are from PBE.

abc: 9.629 9.629 4.255
angles: 90.00 90.00 90.00
Space group I4/mmm (No. 139)
Unique sites:
Pa: 0.000 0.000 0.000 [2 per cell]
Pa: 0.177 0.177 0.500 [8 per cell]
Ga: 0.000 0.338 0.000 [8 per cell]

Properties
Formation energy: -8 kJ/mol of atoms
Volume: 395 Å³ per cell
Energy above the most stable polymorph in this dataset: 128.2 meV/atom
E: -6.700 eV per atom
Size of the total moment: 0.000 μB per formula unit
Crystal system: tetragonal


Entry 4:
Here is a relaxed structure of ScWC3 from Alexandria via LeMat-Bulk. Energies are from PBE.

abc: 3.958 3.958 3.958
angles: 90.00 90.00 90.00
Space group Pm-3m (No. 221)
Unique sites:
Sc: 0.000 0.000 0.000 [1 per cell]
W: 0.500 0.500 0.500 [1 per cell]
C: 0.000 0.000 0.500 [3 per cell]

Properties
Formation energy: 259 kJ/mol of atoms
Volume: 62 Å³ per cell
Energy above the most stable polymorph in this dataset: 1668.4 meV/atom
E: -6.703 eV per atom
Size of the total moment: 0.001 μB per formula unit
Crystal system: cubic


Entry 5:
Here is a relaxed structure of RbTiZn3 from Alexandria via LeMat-Bulk. Energies are from PBE.

abc: 5.299 5.299 5.299
angles: 90.00 90.00 90.00
Space group Pm-3m (No. 221)
Unique sites:
Rb: 0.000 0.000 0.000 [1 per cell]
Ti: 0.500 0.500 0.500 [1 per cell]
Zn: 0.000 0.500 0.500 [3 per cell]

Properties
Formation energy: 47 kJ/mol of atoms
Volume: 149 Å³ per cell
E: -2.047 eV per atom
Size of the total moment: 3.439 μB per formula unit
Crystal system: cubic


Entry 6:
Here is a relaxed structure of Ca3Cu3As4O16 from Alexandria via LeMat-Bulk. Energies are from PBE.

abc: 9.277 5.148 16.944
angles: 90.00 116.75 90.00
Space group P2_1/c (No. 14)
Unique sites:
Ca: 0.000 0.000 0.000 [2 per cell]
Ca: 0.303 0.032 0.268 [4 per cell]
Cu: 0.210 0.528 0.381 [4 per cell]
Cu: 0.500 0.000 0.500 [2 per cell]
As: 0.039 0.508 0.159 [4 per cell]
As: 0.435 0.508 0.594 [4 per cell]
O: 0.036 0.661 0.643 [4 per cell]
O: 0.106 0.162 0.597 [4 per cell]
O: 0.146 0.594 0.850 [4 per cell]
O: 0.191 0.053 0.766 [4 per cell]
O: 0.251 0.566 0.504 [4 per cell]
O: 0.421 0.200 0.921 [4 per cell]
O: 0.436 0.613 0.689 [4 per cell]
O: 0.499 0.690 0.898 [4 per cell]

Properties
Volume: 723 Å³ per cell
E: -6.060 eV per atom
Size of the total moment: 3.055 μB per formula unit
E_form (uncorrected): -1589.7 meV per atom
Crystal system: monoclinic


Entry 7:
Here is a relaxed structure of SrFe3As from Alexandria via LeMat-Bulk. Energies are from PBE.

abc: 4.781 4.781 4.781
angles: 90.00 90.00 90.00
Space group Pm-3m (No. 221)
Unique sites:
Sr: 0.000 0.000 0.000 [1 per cell]
Fe: 0.000 0.000 0.500 [3 per cell]
As: 0.500 0.500 0.500 [1 per cell]

Properties
Formation energy: 215 kJ/mol of atoms
Volume: 109 Å³ per cell
Energy above the most stable polymorph in this dataset: 1812.9 meV/atom
E: -4.120 eV per atom
Size of the total moment: 7.623 μB per formula unit
Crystal system: cubic


Entry 8:
Here is a relaxed structure of Ce2GaCo3As4 from Alexandria via LeMat-Bulk. Energies are from PBE.

abc: 4.259 4.259 9.339
angles: 90.00 90.00 90.00
Space group P-4m2 (No. 115)
Unique sites:
Ce: 0.000 0.500 0.243 [2 per cell]
Ga: 0.000 0.000 0.500 [1 per cell]
Co: 0.000 0.500 0.890 [2 per cell]
Co: 0.500 0.500 0.500 [1 per cell]
As: 0.000 0.000 0.000 [1 per cell]
As: 0.000 0.500 0.643 [2 per cell]
As: 0.500 0.500 0.000 [1 per cell]

Properties
Formation energy: -65 kJ/mol of atoms
Volume: 169 Å³ per cell
E: -6.153 eV per atom
Size of the total moment: 0.261 μB per formula unit
Crystal system: tetragonal